1.
A relaxed structure of CsBa3Cu. Source: Alexandria, functional PBE.

The value obtained for the energy relative to the lowest polymorph listed for this composition is 0 meV per atom. The calculation puts the density of states at the Fermi level at 1.119 states/eV/atom. The formation energy is 0.080 eV/atom.

The structure belongs to space group Pm-3m (No. 221); the cell edges are 6.643, 6.643 and 6.643 Å and the angles 90.00°, 90.00° and 90.00°. Symmetry generates all atoms from Cs at (0.000, 0.000, 0.000), Ba at (0.000, 0.500, 0.500) and Cu at (0.500, 0.500, 0.500).



2.
A relaxed structure of Li5PrHg4. Source: Alexandria, functional PBE.

The calculation puts the density of states at the Fermi level at 0.498 states/eV/atom. The formation energy is -0.277 eV/atom.

The structure belongs to space group P4/mmm (No. 123); the cell edges are 3.435, 3.435 and 17.163 Å and the angles 90.00°, 90.00° and 90.00°. Symmetry generates all atoms from Li at (0.000, 0.000, 0.000), Li at (0.000, 0.000, 0.185), Li at (0.000, 0.000, 0.360), Pr at (0.500, 0.500, 0.500), Hg at (0.500, 0.500, 0.095) and Hg at (0.500, 0.500, 0.283).



3.
A relaxed structure of SiNF2. Source: Alexandria, functional PBE.

The value obtained for the energy relative to the lowest polymorph listed for this composition is 0 meV per atom. The formation energy from raw total energies is -23 kJ/mol of formula units. The calculation puts the density of states at the Fermi level at 0.276 states/eV/atom.

The structure belongs to space group I-42d (No. 122); the cell edges are 3.134, 3.134 and 14.425 Å and the angles 90.00°, 90.00° and 90.00°. Symmetry generates all atoms from Si at (0.000, 0.000, 0.000), N at (0.000, 0.000, 0.500) and F at (0.230, 0.250, 0.125).



4.
A relaxed structure of Ac4Hg2RhAu. Source: Alexandria, functional PBE.

The calculation puts the density of states at the Fermi level at 0.609 states/eV/atom. The formation energy is -0.593 eV/atom.

The structure belongs to space group P2/m (No. 10); the cell edges are 7.810, 4.301 and 8.558 Å and the angles 90.00°, 105.79° and 90.00°. Symmetry generates all atoms from Ac at (0.220, 0.000, 0.208), Ac at (0.241, 0.500, 0.784), Hg at (0.000, 0.000, 0.500), Hg at (0.500, 0.500, 0.500), Rh at (0.000, 0.500, 0.000) and Au at (0.500, 0.000, 0.000).



5.
A relaxed structure of RbMn. Source: Alexandria, functional PBE.

The value obtained for the energy relative to the lowest polymorph listed for this composition is 489 meV per atom. The calculation puts the density of states at the Fermi level at 1.338 states/eV/atom. The formation energy is 1.288 eV/atom.

The structure belongs to space group P6_3/m (No. 176); the cell edges are 14.2982, 14.2982 and 3.2096 Å and the angles 90.00°, 90.00° and 120.00°. Symmetry generates all atoms from Rb at (0.1835, 0.4279, 0.2500) and Mn at (0.0307, 0.5496, 0.2500).



6.
A relaxed structure of CeNd2Si2. Source: Alexandria, functional PBE.

The value obtained for the energy relative to the lowest polymorph listed for this composition is 0 meV per atom. The formation energy from raw total energies is -255 kJ/mol of formula units. The calculation puts the density of states at the Fermi level at 1.303 states/eV/atom.

The structure belongs to space group C2/m (No. 12); the cell edges are 12.122, 4.388 and 10.798 Å and the angles 90.00°, 116.82° and 90.00°. Symmetry generates all atoms from Ce at (0.214, 0.000, 0.365), Nd at (0.010, 0.500, 0.685), Nd at (0.185, 0.500, 0.098), Si at (0.026, 0.000, 0.903) and Si at (0.111, 0.000, 0.567).



7.
A relaxed structure of BaCa2Ga2. Source: Alexandria, functional PBE.

The value obtained for the energy relative to the lowest polymorph listed for this composition is 0 meV per atom. The calculation puts the density of states at the Fermi level at 1.191 states/eV/atom. The formation energy is -0.315 eV/atom.

The structure belongs to space group C2/m (No. 12); the cell edges are 12.870, 4.500 and 6.105 Å and the angles 90.00°, 101.49° and 90.00°. Symmetry generates all atoms from Ba at (0.000, 0.000, 0.000), Ca at (0.156, 0.500, 0.587) and Ga at (0.231, 0.500, 0.108).



8.
A relaxed structure of Tb2Ga4CoIr3. Source: Alexandria, functional PBE.

The calculation puts the density of states at the Fermi level at 0.588 states/eV/atom. The formation energy is -0.637 eV/atom.

The structure belongs to space group P-4m2 (No. 115); the cell edges are 4.154, 4.154 and 10.397 Å and the angles 90.00°, 90.00° and 90.00°. Symmetry generates all atoms from Tb at (0.000, 0.500, 0.236), Ga at (0.000, 0.000, 0.500), Ga at (0.000, 0.500, 0.877), Ga at (0.500, 0.500, 0.500), Co at (0.500, 0.500, 0.000), Ir at (0.000, 0.000, 0.000) and Ir at (0.000, 0.500, 0.639).



9.
A relaxed structure of TbNd7Y3. Source: Alexandria, functional PBE.

The value obtained for the energy relative to the lowest polymorph listed for this composition is 0 meV per atom. The calculation puts the density of states at the Fermi level at 1.587 states/eV/atom. The formation energy is 0.181 eV/atom.

The structure belongs to space group C2/c (No. 15); the cell edges are 19.297, 7.261 and 12.618 Å and the angles 90.00°, 115.81° and 90.00°. Symmetry generates all atoms from Tb at (0.000, 0.000, 0.000), Nd at (0.000, 0.222, 0.250), Nd at (0.160, 0.496, 0.776), Nd at (0.168, 0.247, 0.029), Nd at (0.168, 0.248, 0.529), Y at (0.000, 0.500, 0.000) and Y at (0.169, 0.001, 0.275).



10.
A relaxed structure of Tl2HgRh. Source: Alexandria, functional PBE.

The value obtained for the energy relative to the lowest polymorph listed for this composition is 62 meV per atom. The calculation puts the density of states at the Fermi level at 0.414 states/eV/atom. The formation energy is 0.112 eV/atom.

The structure belongs to space group P4mm (No. 99); the cell edges are 3.266, 3.266 and 8.756 Å and the angles 90.00°, 90.00° and 90.00°. Symmetry generates all atoms from Tl at (0.000, 0.000, 0.000), Tl at (0.500, 0.500, 0.316), Hg at (0.000, 0.000, 0.605) and Rh at (0.500, 0.500, 0.803).



11.
A relaxed structure of LiBeFe2. Source: Alexandria, functional PBE.

The calculation puts the density of states at the Fermi level at 0.658 states/eV/atom. The formation energy is 0.200 eV/atom.

The structure belongs to space group Pmm2 (No. 25); the cell edges are 2.434, 3.429 and 5.049 Å and the angles 90.00°, 90.00° and 90.00°. Symmetry generates all atoms from Li at (0.000, 0.000, 0.000), Be at (0.500, 0.500, 0.247), Fe at (0.000, 0.000, 0.491) and Fe at (0.500, 0.500, 0.698).



12.
A relaxed structure of Pr2YV. Source: Alexandria, functional PBE.

The calculation puts the density of states at the Fermi level at 1.623 states/eV/atom. The formation energy is 0.644 eV/atom.

The structure belongs to space group R-3m (No. 166, hexagonal axes); the cell edges are 3.4702, 3.4702 and 35.2770 Å and the angles 90.00°, 90.00° and 120.00°. Symmetry generates all atoms from Pr at (0.0000, 0.0000, 0.0809), Y at (0.0000, 0.0000, 0.5000) and V at (0.0000, 0.0000, 0.0000).